Here is a geometry-optimized TbThNi2 structure from Alexandria. Energies are from PBE.

## Properties
Calculated formation energy, eV/atom: -0.2700
Excess energy over the best structure of this formula in the dataset, meV per atom: 172.9
ρ, g/cm3: 9.41
Space group: No. 160
DOS at the Fermi energy, states/eV per cell: 2.047

```
4
Lattice="-2.392 0.929 -2.936 -3.831 -0.649 0.326 -2.903 6.315 1.773" Properties=species:S:1:pos:R:3 pbc="T T T"
Tb -4.571 3.360 -0.392
Th -7.045 6.450 0.012
Ni -2.696 4.760 1.112
Ni -2.280 1.637 -0.214
```

Here is a geometry-optimized Sm2ScGa4Au3 structure from Alexandria. Energies are from PBE.

## Properties
Calculated formation energy, eV/atom: -0.6427
ρ, g/cm3: 9.62
Space group: No. 115
DOS at the Fermi energy, states/eV per cell: 5.834

```
10
Lattice="-1.362 1.991 -3.483 0.380 -3.597 -2.205 -11.025 -2.819 2.699" Properties=species:S:1:pos:R:3 pbc="T T T"
Sm -3.368 0.309 -1.084
Sm -8.148 -3.930 0.939
Sc -6.003 -2.212 -1.494
Ga -0.491 -0.803 -2.844
Ga 0.000 0.000 0.000
Ga -7.857 -0.839 0.015
Ga -3.659 -2.783 -0.160
Au -5.512 -1.409 1.349
Au -10.233 -1.447 0.597
Au -1.283 -2.175 -0.742
```

Here is a geometry-optimized CsTlSn2Hg structure from Alexandria. Energies are from PBE.

## Properties
Calculated formation energy, eV/atom: -0.1581
ρ, g/cm3: 7.38
Space group: No. 44
DOS at the Fermi energy, states/eV per cell: 0.868

```
5
Lattice="-4.643 -1.914 0.002 0.679 -1.642 5.147 -0.316 7.356 -0.492" Properties=species:S:1:pos:R:3 pbc="T T T"
Cs -2.005 4.865 1.816
Tl -0.528 1.284 3.360
Sn -3.229 1.246 0.823
Sn -0.283 0.687 0.257
Hg -3.491 1.884 3.941
```

Here is a geometry-optimized ErRePbO6 structure from Alexandria. Energies are from PBE.

## Properties
Uncorrected formation energy, eV/f.u.: -18.4
ρ, g/cm3: 7.83
Space group: No. 149

```
9
Lattice="5.564 0.000 0.000 2.782 4.819 0.000 0.000 0.000 5.194" Properties=species:S:1:pos:R:3 pbc="T T T"
Er 5.564 3.212 2.596
Re 2.782 1.606 2.597
Pb 8.346 4.819 0.000
O 1.215 1.698 1.512
O 2.078 0.203 3.682
O 4.350 1.699 3.682
O 1.918 2.918 3.682
O 3.645 2.918 1.512
O 3.486 0.203 1.512
```

Here is a geometry-optimized EuGaCo structure from Alexandria. Energies are from PBE.

## Properties
Calculated formation energy, eV/atom: -0.1987
ρ, g/cm3: 7.46
Space group: No. 187
DOS at the Fermi energy, states/eV per cell: 8.425

```
3
Lattice="-1.748 -3.752 -0.704 0.897 -1.146 3.880 -3.618 1.842 -0.833" Properties=species:S:1:pos:R:3 pbc="T T T"
Eu -3.278 -1.656 0.269
Co -0.899 -0.775 2.192
Ga -0.291 -0.625 -0.117
```

Here is a geometry-optimized SiCIN2 structure from Alexandria. Energies are from PBE.

## Properties
Excess energy over the best structure of this formula in the dataset, meV per atom: 0.0
Uncorrected formation energy, eV/f.u.: 7.4
ρ, g/cm3: 3.67
Space group: No. 123
DOS at the Fermi energy, states/eV per cell: 1.531

```
5
Lattice="-2.477 -1.845 -1.461 2.053 -2.731 -0.031 -2.549 -1.993 6.841" Properties=species:S:1:pos:R:3 pbc="T T T"
I -1.275 -0.996 3.421
Si 0.000 0.000 0.000
C -1.487 -3.285 2.675
N 1.026 -1.366 -0.015
N -1.239 -0.923 -0.730
```

Here is a geometry-optimized LiY3Ag structure from Alexandria. Energies are from PBE.

## Properties
Calculated formation energy, eV/atom: 0.3349
Excess energy over the best structure of this formula in the dataset, meV per atom: 0.0
ρ, g/cm3: 3.60
Space group: No. 221
DOS at the Fermi energy, states/eV per cell: 10.037

```
5
Lattice="-4.596 -0.669 -3.136 -2.973 -1.166 4.606 -1.202 5.441 0.601" Properties=species:S:1:pos:R:3 pbc="T T T"
Y -1.486 -0.583 2.303
Y -0.601 2.720 0.301
Y -2.298 -0.334 -1.568
Ag 0.000 0.000 0.000
Li -4.386 1.803 1.035
```

Here is a geometry-optimized La4Te2PBr structure from Alexandria. Energies are from PBE.

## Properties
Uncorrected formation energy, eV/f.u.: -12.6
ρ, g/cm3: 6.15
Space group: No. 10
DOS at the Fermi energy, states/eV per cell: 3.939

```
8
Lattice="-2.181 2.868 2.509 -4.722 1.577 -5.909 -3.000 -5.858 4.087" Properties=species:S:1:pos:R:3 pbc="T T T"
La -2.791 0.510 0.831
La -7.112 -1.923 -0.144
La -3.433 -4.153 1.762
La -4.288 -0.127 -3.583
Te -2.590 -1.495 3.298
Te -3.861 -2.140 -0.911
P 0.000 0.000 0.000
Br -3.452 2.222 -1.700
```

Here is a geometry-optimized Ba4AsO2 structure from Alexandria. Energies are from PBE.

## Properties
Excess energy over the best structure of this formula in the dataset, meV per atom: 560.4
Uncorrected formation energy, eV/f.u.: -8.0
ρ, g/cm3: 3.92
Space group: No. 139
DOS at the Fermi energy, states/eV per cell: 4.196

```
7
Lattice="-2.427 -2.724 4.958 5.140 -3.314 0.695 4.169 2.238 7.092" Properties=species:S:1:pos:R:3 pbc="T T T"
As 0.000 0.000 0.000
Ba 2.821 -0.281 5.048
Ba 4.061 -3.518 7.698
Ba 2.570 -1.657 0.348
Ba -1.213 -1.362 2.479
O 1.961 -1.889 3.743
O 4.922 -1.910 9.002
```

Here is a geometry-optimized YHf3W structure from Alexandria. Energies are from PBE.

## Properties
Calculated formation energy, eV/atom: 0.6503
Excess energy over the best structure of this formula in the dataset, meV per atom: 0.0
ρ, g/cm3: 10.01
Space group: No. 221
DOS at the Fermi energy, states/eV per cell: 9.434

```
5
Lattice="-4.165 2.877 -0.750 -1.980 -1.722 4.394 2.218 3.866 2.514" Properties=species:S:1:pos:R:3 pbc="T T T"
Y -1.964 2.511 3.079
Hf -0.990 -0.861 2.197
Hf 1.109 1.933 1.257
Hf -2.083 1.439 -0.375
W 0.000 0.000 0.000
```

Here is a geometry-optimized AlPdPt structure from Alexandria. Energies are from PBE.

## Properties
Calculated formation energy, eV/atom: -0.6888
Excess energy over the best structure of this formula in the dataset, meV per atom: 104.9
ρ, g/cm3: 12.02
Space group: No. 156
DOS at the Fermi energy, states/eV per cell: 1.327

```
3
Lattice="-0.459 1.264 2.575 -3.863 -1.758 0.174 3.346 -2.063 1.609" Properties=species:S:1:pos:R:3 pbc="T T T"
Pd -0.432 1.190 2.424
Pt 0.759 -1.453 2.166
Al -1.761 -1.029 2.344
```

Here is a geometry-optimized TiMnPd3 structure from Alexandria. Energies are from PBE.

## Properties
Calculated formation energy, eV/atom: -0.2125
Excess energy over the best structure of this formula in the dataset, meV per atom: 0.0
ρ, g/cm3: 9.05
Space group: No. 62
DOS at the Fermi energy, states/eV per cell: 11.477

```
20
Lattice="-5.257 -0.985 0.115 0.877 -3.943 6.296 -1.112 6.421 4.177" Properties=species:S:1:pos:R:3 pbc="T T T"
Ti -1.860 2.571 6.310
Ti -0.566 -2.555 7.363
Ti -3.632 -1.078 4.277
Ti -4.926 4.048 3.224
Mn 0.438 -1.972 3.148
Mn -3.184 2.718 2.146
Mn -2.628 -0.493 0.057
Mn -0.118 1.239 5.236
Pd -4.702 -1.183 1.461
Pd -3.135 0.372 6.660
Pd -3.552 2.782 8.228
Pd -0.373 0.266 7.559
Pd -0.791 2.676 9.126
Pd -2.358 1.121 3.927
Pd -1.940 -1.289 2.359
Pd -5.119 1.227 3.029
Pd -1.955 3.996 4.094
Pd -1.087 -1.209 5.156
Pd -3.537 -2.503 6.493
Pd -4.405 2.702 5.431
```